VASP calculation (PBE+U) on crystalline CaVNO2 at its relaxed geometry.

## Properties
E_tot: -7.17 eV per atom
Symmetry: P4/mmm (123)
M_tot: 0.00 μB per atom

```
CaVNO2
1.0
-2.749 -1.832 1.958
1.703 -3.359 -0.753
2.057 0.327 3.194
Ca N O V
1 1 2 1
Direct
0.500 0.500 0.500
0.000 0.000 0.500
0.000 0.500 0.000
0.500 0.000 0.000
0.000 0.000 0.000
```